No. 1
# Cr3BSb PBE-GGA optimized geometry
data_Cr3BSb
_cell_length_a 5.1045
_cell_length_b 5.1045
_cell_length_c 5.1045
_cell_angle_alpha 90.00
_cell_angle_beta 90.00
_cell_angle_gamma 90.00
_space_group_name_H-M_alt 'P 1'
_space_group_IT_number 1
loop_
_space_group_symop_operation_xyz
'x,y,z'
loop_
_atom_site_label
_atom_site_fract_x
_atom_site_fract_y
_atom_site_fract_z
Cr1 0.0000 0.0000 0.5000
Cr2 0.5000 0.0000 0.0000
Sb1 0.0000 0.0000 0.0000
B1 0.5000 0.5000 0.5000
Cr3 0.0000 0.5000 0.0000
# **Uncorrected formation energy**: 2.044 eV per atom
# **DFT total energy**: -5.89 eV/atom
# **Total magnetization**: 12.53 μB per formula unit
# **Fermi-level density of states**: 3.9 states/eV/f.u.
# **Energy relative to the lowest polymorph listed for this composition**: 9.03 eV per formula unit

No. 2
# ScTcSeBr2 PBE-GGA optimized geometry
data_ScTcSeBr2
_cell_length_a 5.2352
_cell_length_b 5.2352
_cell_length_c 5.2413
_cell_angle_alpha 90.00
_cell_angle_beta 90.00
_cell_angle_gamma 90.00
_space_group_name_H-M_alt 'P 1'
_space_group_IT_number 1
loop_
_space_group_symop_operation_xyz
'x,y,z'
loop_
_atom_site_label
_atom_site_fract_x
_atom_site_fract_y
_atom_site_fract_z
Se1 0.0000 0.0000 0.5000
Sc1 0.0000 0.0000 0.0000
Br1 0.0000 0.5000 0.0000
Tc1 0.5000 0.5000 0.5000
Br2 0.5000 0.0000 0.0000
# **Uncorrected formation energy**: -0.032 eV per atom
# **DFT total energy**: -4.74 eV/atom
# **Total magnetization**: 4.75 μB per formula unit
# **Fermi-level density of states**: 4.4 states/eV/f.u.
# **Energy relative to the lowest polymorph listed for this composition**: 0.00 eV per formula unit

No. 3
# Sr2Ge5Au3 PBE-GGA optimized geometry
data_Sr2Ge5Au3
_cell_length_a 6.4891
_cell_length_b 8.9871
_cell_length_c 8.9871
_cell_angle_alpha 73.52
_cell_angle_beta 68.61
_cell_angle_gamma 68.61
_space_group_name_H-M_alt 'P 1'
_space_group_IT_number 1
loop_
_space_group_symop_operation_xyz
'x,y,z'
loop_
_atom_site_label
_atom_site_fract_x
_atom_site_fract_y
_atom_site_fract_z
Ge1 0.1241 0.0090 0.7452
Ge2 0.6241 0.7452 0.0090
Sr1 0.1215 0.6252 0.1315
Sr2 0.8785 0.3748 0.8685
Ge3 0.9959 0.7558 0.7538
Ge4 0.4959 0.7538 0.7558
Ge5 0.7500 0.5005 0.4995
Ge6 0.0041 0.2442 0.2462
Au1 0.7500 0.9992 0.0008
Au2 0.1304 0.2392 0.4999
Au3 0.2500 0.0008 0.9992
Au4 0.6304 0.4999 0.2392
Ge7 0.5041 0.2462 0.2442
Sr3 0.6215 0.1315 0.6252
Sr4 0.3785 0.8685 0.3748
Ge8 0.2500 0.4995 0.5005
Ge9 0.3759 0.2548 0.9910
Au5 0.8696 0.7608 0.5001
Ge10 0.8759 0.9910 0.2548
Au6 0.3696 0.5001 0.7608
# **DFT total energy**: -4.08 eV/atom
# **Total magnetization**: 0.00 μB per formula unit
# **Formation enthalpy at 0 K**: -452 meV/atom
# **Fermi-level density of states**: 3.9 states/eV/f.u.

No. 4
# TcMo3W PBE-GGA optimized geometry
data_TcMo3W
_cell_length_a 2.7262
_cell_length_b 8.0923
_cell_length_c 8.4561
_cell_angle_alpha 90.00
_cell_angle_beta 90.00
_cell_angle_gamma 110.56
_space_group_name_H-M_alt 'P 1'
_space_group_IT_number 1
loop_
_space_group_symop_operation_xyz
'x,y,z'
loop_
_atom_site_label
_atom_site_fract_x
_atom_site_fract_y
_atom_site_fract_z
Mo1 0.1853 0.3300 0.0185
W1 0.5000 0.0000 0.0000
W2 0.5000 0.0000 0.5000
Mo2 0.6833 0.8414 0.2500
Mo3 0.1853 0.3300 0.4815
Tc1 0.9793 0.4805 0.7500
Tc2 0.0207 0.5195 0.2500
Mo4 0.3167 0.1586 0.7500
Mo5 0.8147 0.6700 0.9815
Mo6 0.8147 0.6700 0.5185
# **DFT total energy**: -10.66 eV/atom
# **Total magnetization**: 0.00 μB per formula unit
# **Formation enthalpy at 0 K**: 506 meV/atom
# **Fermi-level density of states**: 4.3 states/eV/f.u.
# **Energy relative to the lowest polymorph listed for this composition**: 1.74 eV per formula unit

No. 5
# AlGaI2N PBE-GGA optimized geometry
data_AlGaI2N
_cell_length_a 6.2514
_cell_length_b 6.2514
_cell_length_c 3.5123
_cell_angle_alpha 90.00
_cell_angle_beta 90.00
_cell_angle_gamma 90.00
_space_group_name_H-M_alt 'P 1'
_space_group_IT_number 1
loop_
_space_group_symop_operation_xyz
'x,y,z'
loop_
_atom_site_label
_atom_site_fract_x
_atom_site_fract_y
_atom_site_fract_z
N1 0.0000 0.0000 0.5000
Ga1 0.0000 0.0000 0.0000
I1 0.5000 0.0000 0.0000
Al1 0.5000 0.5000 0.5000
I2 0.0000 0.5000 0.0000
# **Uncorrected formation energy**: 0.472 eV per atom
# **DFT total energy**: -3.17 eV/atom
# **Total magnetization**: 0.57 μB per formula unit
# **Fermi-level density of states**: 3.3 states/eV/f.u.
# **Energy relative to the lowest polymorph listed for this composition**: 2.16 eV per formula unit

No. 6
# SnPbSI2 PBE-GGA optimized geometry
data_SnPbSI2
_cell_length_a 4.3971
_cell_length_b 7.9989
_cell_length_c 10.6767
_cell_angle_alpha 90.00
_cell_angle_beta 90.00
_cell_angle_gamma 105.95
_space_group_name_H-M_alt 'P 1'
_space_group_IT_number 1
loop_
_space_group_symop_operation_xyz
'x,y,z'
loop_
_atom_site_label
_atom_site_fract_x
_atom_site_fract_y
_atom_site_fract_z
Pb1 0.6821 0.3643 0.2500
Sn1 0.0000 0.0000 0.0000
S1 0.0718 0.1436 0.2500
I1 0.3543 0.7086 0.0617
I2 0.6457 0.2914 0.9383
S2 0.9282 0.8564 0.7500
Sn2 0.0000 0.0000 0.5000
I3 0.6457 0.2914 0.5617
Pb2 0.3179 0.6357 0.7500
I4 0.3543 0.7086 0.4383
# **Uncorrected formation energy**: -0.494 eV per atom
# **DFT total energy**: -3.48 eV/atom
# **Total magnetization**: 0.00 μB per formula unit

No. 7
# AcEr2Al PBE-GGA optimized geometry
data_AcEr2Al
_cell_length_a 3.5738
_cell_length_b 3.5738
_cell_length_c 11.7403
_cell_angle_alpha 81.25
_cell_angle_beta 81.25
_cell_angle_gamma 60.00
_space_group_name_H-M_alt 'P 1'
_space_group_IT_number 1
loop_
_space_group_symop_operation_xyz
'x,y,z'
loop_
_atom_site_label
_atom_site_fract_x
_atom_site_fract_y
_atom_site_fract_z
Er1 0.1036 0.1036 0.6893
Er2 0.8964 0.8964 0.3107
Al1 0.5000 0.5000 0.5000
Ac1 0.0000 0.0000 0.0000
# **DFT total energy**: -4.14 eV/atom
# **Total magnetization**: 0.00 μB per formula unit
# **Formation enthalpy at 0 K**: 103 meV/atom
# **Fermi-level density of states**: 4.5 states/eV/f.u.
# **Energy relative to the lowest polymorph listed for this composition**: 1.02 eV per formula unit

No. 8
# CdInTe2 PBE-GGA optimized geometry
data_CdInTe2
_cell_length_a 6.0268
_cell_length_b 3.2510
_cell_length_c 6.0317
_cell_angle_alpha 89.99
_cell_angle_beta 90.00
_cell_angle_gamma 90.00
_space_group_name_H-M_alt 'P 1'
_space_group_IT_number 1
loop_
_space_group_symop_operation_xyz
'x,y,z'
loop_
_atom_site_label
_atom_site_fract_x
_atom_site_fract_y
_atom_site_fract_z
In1 0.5000 0.7476 0.8755
Te1 0.5000 0.4712 0.3755
Te2 0.0000 0.0305 0.8747
Cd1 0.0000 0.2507 0.3743
# **Uncorrected formation energy**: -0.138 eV per atom
# **DFT total energy**: -2.62 eV/atom
# **Total magnetization**: 0.00 μB per formula unit
# **Fermi-level density of states**: 2.0 states/eV/f.u.